# 1
Zn2CuOsO6 after structural relaxation. Source: the Alexandria database, functional PBE.

Total magnetization (Bohr magnetons per cell): 0.92
V (Å³/atom): 11.62
Fermi-level density of states (states/eV per atom): 0.3961
Space-group type: P4_2/mnm (136)
VASP energy (eV per atom): -5.775

Cell: 5.056 5.057 9.088 Å, 90.00 90.02 90.00°
Last column: magnetic moment on the atom in μB.
Sites, in units of the cell vectors:
1 Zn 0.000 0.000 0.250  0.01
2 Zn 0.500 0.500 0.250  0.01
3 Zn 0.500 0.500 0.750  0.01
4 Zn 0.000 0.000 0.750  0.01
5 Cu 0.000 0.500 0.000  -0.01
6 Cu 0.500 0.000 0.500  -0.01
7 Os 0.000 0.500 0.500  0.30
8 Os 0.500 0.000 0.000  0.30
9 O 0.801 0.302 0.651  0.01
10 O 0.755 0.255 0.000  0.03
11 O 0.802 0.301 0.349  0.01
12 O 0.698 0.801 0.151  0.01
13 O 0.745 0.755 0.500  0.03
14 O 0.699 0.802 0.849  0.01
15 O 0.301 0.198 0.151  0.01
16 O 0.255 0.245 0.500  0.03
17 O 0.302 0.199 0.849  0.01
18 O 0.245 0.745 0.000  0.03
19 O 0.198 0.699 0.651  0.01
20 O 0.199 0.698 0.349  0.01

=====

# 2
ZnCu2OsO6 after structural relaxation. Source: the Alexandria database, functional PBE.

Total magnetization (Bohr magnetons per cell): 0.00
V (Å³/atom): 11.57
Fermi-level density of states (states/eV per atom): 0.3604
Space-group type: C2/c (15)
VASP energy (eV per atom): -5.920

Cell: 5.217 6.719 6.719 Å, 84.20 83.28 83.28°
Sites, in units of the cell vectors:
1 Zn 0.250 0.920 0.080
2 Zn 0.750 0.080 0.920
3 Cu 0.189 0.793 0.601
4 Cu 0.311 0.399 0.207
5 Cu 0.811 0.207 0.399
6 Cu 0.689 0.601 0.793
7 Os 0.250 0.276 0.724
8 Os 0.750 0.724 0.276
9 O 0.124 0.998 0.789
10 O 0.376 0.211 0.002
11 O 0.876 0.002 0.211
12 O 0.624 0.789 0.998
13 O 0.421 0.850 0.361
14 O 0.079 0.639 0.150
15 O 0.579 0.150 0.639
16 O 0.921 0.361 0.850
17 O 0.863 0.705 0.530
18 O 0.637 0.470 0.295
19 O 0.137 0.295 0.470
20 O 0.363 0.530 0.705

=====

# 3
Cu3P4O14 after structural relaxation. Source: the Alexandria database, functional PBE.

Total magnetization (Bohr magnetons per cell): 1.74
V (Å³/atom): 13.30
Fermi-level density of states (states/eV per atom): 0.1584
Space-group type: P2_1/c (14)
Relative energy among the computed polymorphs (eV per atom): 0.000

Cell: 8.845 7.113 9.491 Å, 69.34 90.00 90.00°
Last column: magnetic moment on the atom in μB.
Sites, in units of the cell vectors:
1 Cu 0.867 0.201 0.989  0.09
2 Cu 0.367 0.799 0.511  0.09
3 Cu 0.633 0.201 0.489  0.09
4 Cu 0.133 0.799 0.011  0.09
5 Cu 0.000 0.000 0.500  0.39
6 Cu 0.500 0.000 0.000  0.39
7 P 0.517 0.618 0.293  0.01
8 P 0.266 0.068 0.698  0.00
9 P 0.983 0.618 0.793  0.01
10 P 0.766 0.932 0.802  0.00
11 P 0.483 0.382 0.707  0.01
12 P 0.234 0.068 0.198  0.00
13 P 0.734 0.932 0.302  0.00
14 P 0.017 0.382 0.207  0.01
15 O 0.979 0.280 0.374  0.03
16 O 0.888 0.363 0.103  0.01
17 O 0.120 0.985 0.113  0.01
18 O 0.104 0.084 0.644  0.05
19 O 0.774 0.032 0.627  0.03
20 O 0.896 0.916 0.356  0.05
21 O 0.521 0.280 0.874  0.03
22 O 0.620 0.015 0.387  0.01
23 O 0.274 0.968 0.873  0.03
24 O 0.388 0.637 0.397  0.01
25 O 0.880 0.015 0.887  0.01
26 O 0.952 0.395 0.818  0.00
27 O 0.726 0.032 0.127  0.03
28 O 0.172 0.292 0.168  0.00
29 O 0.328 0.292 0.668  0.00
30 O 0.452 0.605 0.682  0.00
31 O 0.604 0.916 0.856  0.05
32 O 0.380 0.985 0.613  0.01
33 O 0.112 0.637 0.897  0.01
34 O 0.548 0.395 0.318  0.00
35 O 0.396 0.084 0.144  0.05
36 O 0.048 0.605 0.182  0.00
37 O 0.226 0.968 0.373  0.03
38 O 0.021 0.720 0.626  0.03
39 O 0.828 0.708 0.832  0.00
40 O 0.612 0.363 0.603  0.01
41 O 0.479 0.720 0.126  0.03
42 O 0.672 0.708 0.332  0.00

=====

# 4
CuP3O after structural relaxation. Source: the Alexandria database, functional PBE.

Total magnetization (Bohr magnetons per cell): 2.18
V (Å³/atom): 17.55
Fermi-level density of states (states/eV per atom): 0.7487
Space-group type: Pm-3m (221)
Relative energy among the computed polymorphs (eV per atom): 0.587

Cell: 4.443 4.443 4.443 Å, 90.00 90.00 90.00°
Last column: magnetic moment on the atom in μB.
Sites, in units of the cell vectors:
1 P 0.000 0.500 0.000  0.15
2 P 0.000 0.000 0.500  0.18
3 P 0.500 0.000 0.000  0.14
4 O 0.500 0.500 0.500  1.00
5 Cu 0.000 0.000 0.000  0.08

=====

# 5
CuPO5 after structural relaxation. Source: the Alexandria database, functional PBE.

Total magnetization (Bohr magnetons per cell): 8.05
V (Å³/atom): 12.74
Fermi-level density of states (states/eV per atom): 0.0599
Space-group type: P2_12_12_1 (19)
Relative energy among the computed polymorphs (eV per atom): 0.000

Cell: 5.966 6.202 9.645 Å, 90.00 90.00 90.00°
Last column: magnetic moment on the atom in μB.
Sites, in units of the cell vectors:
1 Cu 0.300 0.368 0.599  0.66
2 Cu 0.800 0.132 0.401  0.66
3 Cu 0.700 0.868 0.901  0.66
4 Cu 0.200 0.632 0.099  0.66
5 P 0.224 0.032 0.851  0.00
6 P 0.724 0.468 0.149  0.00
7 P 0.776 0.532 0.649  0.00
8 P 0.276 0.968 0.351  0.00
9 O 0.648 0.641 0.764  0.07
10 O 0.148 0.859 0.236  0.07
11 O 0.352 0.141 0.736  0.07
12 O 0.852 0.359 0.264  0.07
13 O 0.989 0.956 0.821  0.11
14 O 0.489 0.544 0.179  0.11
15 O 0.011 0.456 0.679  0.11
16 O 0.511 0.044 0.321  0.11
17 O 0.325 0.770 0.481  0.30
18 O 0.825 0.730 0.519  0.30
19 O 0.675 0.270 0.019  0.30
20 O 0.175 0.230 0.981  0.30
21 O 0.366 0.873 0.935  0.11
22 O 0.866 0.627 0.065  0.11
23 O 0.634 0.373 0.565  0.11
24 O 0.134 0.127 0.435  0.11
25 O 0.241 0.430 0.947  0.57
26 O 0.741 0.070 0.053  0.57
27 O 0.759 0.930 0.553  0.57
28 O 0.259 0.570 0.447  0.57

=====

# 6
CuPO6 after structural relaxation. Source: the Alexandria database, functional PBE.

Total magnetization (Bohr magnetons per cell): 6.01
V (Å³/atom): 12.19
Fermi-level density of states (states/eV per atom): 1.1409
Space-group type: Fm-3m (225)
VASP energy (eV per atom): -5.218

Cell: 5.167 5.167 5.167 Å, 60.00 60.00 60.00°
Last column: magnetic moment on the atom in μB.
Sites, in units of the cell vectors:
1 Cu 0.500 0.500 0.500  0.91
2 P 0.000 0.000 0.000  -0.02
3 O 0.772 0.772 0.228  0.74
4 O 0.772 0.228 0.228  0.74
5 O 0.228 0.772 0.772  0.74
6 O 0.228 0.228 0.772  0.74
7 O 0.228 0.772 0.228  0.74
8 O 0.772 0.228 0.772  0.74

=====

# 7
Cu3P4O14 after structural relaxation. Source: the Alexandria database, functional PBE.

Total magnetization (Bohr magnetons per cell): 1.07
V (Å³/atom): 12.03
Fermi-level density of states (states/eV per atom): 0.2134
Space-group type: P-1 (2)
Relative energy among the computed polymorphs (eV per atom): 0.006

Cell: 4.686 7.154 9.264 Å, 58.69 92.25 76.18°
Last column: magnetic moment on the atom in μB.
Sites, in units of the cell vectors:
1 Cu 0.031 0.205 0.535  0.19
2 Cu 0.969 0.795 0.465  0.19
3 Cu 0.000 0.000 0.000  0.31
4 P 0.409 0.477 0.283  0.01
5 P 0.591 0.523 0.717  0.01
6 P 0.348 0.111 0.224  0.00
7 P 0.652 0.889 0.776  0.00
8 O 0.258 0.413 0.440  0.03
9 O 0.742 0.587 0.560  0.03
10 O 0.211 0.996 0.386  0.02
11 O 0.789 0.004 0.614  0.02
12 O 0.753 0.400 0.327  0.01
13 O 0.247 0.600 0.673  0.01
14 O 0.317 0.363 0.185  0.01
15 O 0.683 0.637 0.815  0.01
16 O 0.177 0.171 0.055  0.04
17 O 0.823 0.829 0.945  0.04
18 O 0.679 0.264 0.846  0.02
19 O 0.321 0.736 0.154  0.02
20 O 0.683 0.983 0.256  0.03
21 O 0.317 0.017 0.744  0.03

=====

# 8
Cu5P2O12 after structural relaxation. Source: the Alexandria database, functional PBE.

Total magnetization (Bohr magnetons per cell): 0.00
V (Å³/atom): 11.31
Fermi-level density of states (states/eV per atom): 0.4686
Space-group type: P-1 (2)
Relative energy among the computed polymorphs (eV per atom): 0.006

Cell: 4.584 5.789 8.384 Å, 103.97 90.00 95.38°
Sites, in units of the cell vectors:
1 Cu 0.000 0.500 0.500
2 Cu 0.000 0.000 0.000
3 Cu 0.000 0.500 0.000
4 Cu 0.941 0.042 0.670
5 Cu 0.059 0.958 0.330
6 P 0.500 0.652 0.772
7 P 0.500 0.348 0.228
8 O 0.313 0.682 0.929
9 O 0.687 0.318 0.071
10 O 0.313 0.689 0.628
11 O 0.687 0.311 0.372
12 O 0.712 0.900 0.818
13 O 0.288 0.100 0.182
14 O 0.310 0.552 0.263
15 O 0.690 0.448 0.737
16 O 0.863 0.803 0.475
17 O 0.137 0.197 0.525
18 O 0.877 0.784 0.126
19 O 0.123 0.216 0.874